(1)
Computed, not measured: an optimized crystal structure of HfScCu at the PBE level of DFT.

The structure in CIF format:
```
data_HfScCu
_chemical_formula_sum 'Hf4 Sc4 Cu4'
_cell_length_a 11.714
_cell_length_b 3.186
_cell_length_c 6.408
_cell_angle_alpha 90.00
_cell_angle_beta 106.17
_cell_angle_gamma 90.00
_space_group_name_H-M_alt 'P 1'
_space_group_IT_number 1
_space_group_name_Hall 'P 1'
loop_
_atom_site_label
_atom_site_type_symbol
_atom_site_fract_x
_atom_site_fract_y
_atom_site_fract_z
Hf1 Hf 0.155 0.000 0.333
Hf2 Hf 0.345 0.500 0.667
Hf3 Hf 0.655 0.500 0.333
Hf4 Hf 0.845 0.000 0.667
Sc1 Sc 0.150 0.000 0.821
Sc2 Sc 0.350 0.500 0.179
Sc3 Sc 0.650 0.500 0.821
Sc4 Sc 0.850 0.000 0.179
Cu1 Cu 0.000 0.500 0.000
Cu2 Cu 0.000 0.500 0.500
Cu3 Cu 0.500 0.000 0.000
Cu4 Cu 0.500 0.000 0.500
```

Results
Electronic total energy (eV per atom): -6.911
Total moment (μB per formula unit): 0.5
Symmetry: No. 12
Volume (Å³/f.u.): 57
Formation enthalpy at 0 K (eV per formula unit): -0.4



(2)
Computed, not measured: an optimized crystal structure of HfScCu at the PBE level of DFT.

The structure in CIF format:
```
data_HfScCu
_chemical_formula_sum 'Hf2 Sc2 Cu2'
_cell_length_a 4.177
_cell_length_b 4.177
_cell_length_c 6.681
_cell_angle_alpha 90.00
_cell_angle_beta 90.00
_cell_angle_gamma 90.00
_space_group_name_H-M_alt 'P 1'
_space_group_IT_number 1
_space_group_name_Hall 'P 1'
loop_
_atom_site_label
_atom_site_type_symbol
_atom_site_fract_x
_atom_site_fract_y
_atom_site_fract_z
Hf1 Hf 0.250 0.250 0.126
Hf2 Hf 0.750 0.750 0.874
Sc1 Sc 0.250 0.750 0.500
Sc2 Sc 0.750 0.250 0.500
Cu1 Cu 0.250 0.250 0.758
Cu2 Cu 0.750 0.750 0.242
```

Results
Electronic total energy (eV per atom): -6.781
Total moment (μB per formula unit): 0.0
Symmetry: No. 129
Volume (Å³/f.u.): 58
Formation enthalpy at 0 K (eV per formula unit): 0.0



(3)
Computed, not measured: an optimized crystal structure of HfScCu2 at the PBE level of DFT.

The structure in CIF format:
```
data_HfScCu2
_chemical_formula_sum 'Hf4 Sc4 Cu8'
_cell_length_a 7.246
_cell_length_b 7.246
_cell_length_c 5.523
_cell_angle_alpha 90.00
_cell_angle_beta 90.00
_cell_angle_gamma 90.00
_space_group_name_H-M_alt 'P 1'
_space_group_IT_number 1
_space_group_name_Hall 'P 1'
loop_
_atom_site_label
_atom_site_type_symbol
_atom_site_fract_x
_atom_site_fract_y
_atom_site_fract_z
Hf1 Hf 0.000 0.000 0.000
Hf2 Hf 0.000 0.500 0.250
Hf3 Hf 0.500 0.000 0.750
Hf4 Hf 0.500 0.500 0.500
Sc1 Sc 0.000 0.000 0.500
Sc2 Sc 0.000 0.500 0.750
Sc3 Sc 0.500 0.000 0.250
Sc4 Sc 0.500 0.500 0.000
Cu1 Cu 0.247 0.250 0.125
Cu2 Cu 0.250 0.747 0.375
Cu3 Cu 0.250 0.753 0.875
Cu4 Cu 0.253 0.250 0.625
Cu5 Cu 0.747 0.750 0.625
Cu6 Cu 0.750 0.247 0.875
Cu7 Cu 0.750 0.253 0.375
Cu8 Cu 0.753 0.750 0.125
```

Results
Electronic total energy (eV per atom): -5.823
Total moment (μB per formula unit): 0.0
Symmetry: No. 122
Volume (Å³/f.u.): 72
Formation enthalpy at 0 K (eV per formula unit): 1.2